*w*
A geometry-optimized TiZn3C structure, computed with GGA-PBE. Values from VASP.

The structure in Quantum ESPRESSO input format:
```
&SYSTEM
  ibrav = 0, nat = 5, ntyp = 3
/
ATOMIC_SPECIES
Ti 47.87 Ti.upf
Zn 65.41 Zn.upf
C 12.01 C.upf
ATOMIC_POSITIONS crystal
Ti 0.000 0.000 0.000
Zn 0.000 0.500 0.000
Zn 0.500 0.000 0.000
Zn 0.000 0.000 0.500
C 0.500 0.500 0.500
CELL_PARAMETERS angstrom
-1.054 4.738 -1.586
-4.730 -1.469 -1.244
-1.610 1.212 4.692
```

Volume = 26.63 A^3/atom
SG = Pm-3m (221)
DOS at the Fermi energy = 8.5 states/eV/f.u.
Theoretical density = 3.19 g cm⁻³

*x*
A geometry-optimized TiZn3C structure, computed with GGA-PBE. Values from VASP.

The structure in Quantum ESPRESSO input format:
```
&SYSTEM
  ibrav = 0, nat = 5, ntyp = 3
/
ATOMIC_SPECIES
C 12.01 C.upf
Zn 65.41 Zn.upf
Ti 47.87 Ti.upf
ATOMIC_POSITIONS crystal
C 0.000 0.000 0.000
Zn 0.500 0.000 0.000
Zn 0.000 0.000 0.500
Zn 0.000 0.500 0.000
Ti 0.500 0.500 0.500
CELL_PARAMETERS angstrom
-2.639 -1.739 -2.698
-2.551 -0.983 3.129
-1.948 3.643 -0.443
```

Volume = 14.35 A^3/atom
SG = Pm-3m (221)
DOS at the Fermi energy = 2.7 states/eV/f.u.
Theoretical density = 5.93 g cm⁻³

Which of them is most stable? Easy: *x*.

*w*
A geometry-optimized ZrTiC2 structure, computed with GGA-PBE. Values from VASP.

The structure in Quantum ESPRESSO input format:
```
&SYSTEM
  ibrav = 0, nat = 4, ntyp = 3
/
ATOMIC_SPECIES
Ti 47.87 Ti.upf
C 12.01 C.upf
Zr 91.22 Zr.upf
ATOMIC_POSITIONS crystal
Ti 0.000 0.000 0.500
C 0.500 0.500 0.500
C 0.000 0.000 0.000
Zr 0.500 0.500 0.000
CELL_PARAMETERS angstrom
3.226 0.000 0.000
0.000 3.226 0.000
0.000 0.000 4.539
```

Volume = 11.81 A^3/atom
SG = P4/mmm (123)
DOS at the Fermi energy = 0.8 states/eV/f.u.
Theoretical density = 5.74 g cm⁻³

*x*
A geometry-optimized ZrTiC2 structure, computed with GGA-PBE. Values from VASP.

The structure in Quantum ESPRESSO input format:
```
&SYSTEM
  ibrav = 0, nat = 4, ntyp = 3
/
ATOMIC_SPECIES
C 12.01 C.upf
Ti 47.87 Ti.upf
Zr 91.22 Zr.upf
ATOMIC_POSITIONS crystal
C 0.088 0.088 0.737
C 0.244 0.244 0.267
Ti 0.497 0.497 0.509
Zr 0.671 0.671 0.986
CELL_PARAMETERS angstrom
-1.367 -2.753 -0.955
0.292 -0.967 -3.056
4.162 -3.929 -0.054
```

Volume = 12.14 A^3/atom
SG = R3m (160)
DOS at the Fermi energy = 0.7 states/eV/f.u.
Theoretical density = 5.58 g cm⁻³

Which of them is most stable? Easy: *w*.

*w*
A geometry-optimized ZrTiC2 structure, computed with GGA-PBE. Values from VASP.

The structure in Quantum ESPRESSO input format:
```
&SYSTEM
  ibrav = 0, nat = 16, ntyp = 3
/
ATOMIC_SPECIES
Ti 47.87 Ti.upf
Zr 91.22 Zr.upf
C 12.01 C.upf
ATOMIC_POSITIONS crystal
Ti 0.250 0.425 0.876
Ti 0.250 0.925 0.624
Ti 0.750 0.075 0.376
Ti 0.750 0.575 0.124
Zr 0.750 0.093 0.874
Zr 0.750 0.593 0.626
Zr 0.250 0.407 0.374
Zr 0.250 0.907 0.126
C 0.250 0.596 0.633
C 0.750 0.929 0.617
C 0.750 0.404 0.367
C 0.250 0.096 0.867
C 0.250 0.071 0.383
C 0.750 0.904 0.133
C 0.250 0.571 0.117
C 0.750 0.429 0.883
CELL_PARAMETERS angstrom
-4.484 0.055 -0.738
-0.707 -5.202 3.905
-0.912 4.540 5.883
```

Volume = 13.91 A^3/atom
SG = Pnma (62)
DOS at the Fermi energy = 0.7 states/eV/f.u.
Theoretical density = 4.87 g cm⁻³

*x*
A geometry-optimized ZrTiC2 structure, computed with GGA-PBE. Values from VASP.

The structure in Quantum ESPRESSO input format:
```
&SYSTEM
  ibrav = 0, nat = 4, ntyp = 3
/
ATOMIC_SPECIES
Ti 47.87 Ti.upf
Zr 91.22 Zr.upf
C 12.01 C.upf
ATOMIC_POSITIONS crystal
Ti 0.000 0.000 0.000
Zr 0.500 0.500 0.500
C 0.750 0.750 0.750
C 0.250 0.250 0.250
CELL_PARAMETERS angstrom
0.000 2.832 2.832
2.832 0.000 2.832
2.832 2.832 0.000
```

Volume = 11.36 A^3/atom
SG = Fm-3m (225)
DOS at the Fermi energy = 5.3 states/eV/f.u.
Theoretical density = 5.96 g cm⁻³

Which of them is most stable? Easy: *w*.

*w*
A geometry-optimized ZrTiC2 structure, computed with GGA-PBE. Values from VASP.

The structure in Quantum ESPRESSO input format:
```
&SYSTEM
  ibrav = 0, nat = 4, ntyp = 3
/
ATOMIC_SPECIES
Ti 47.87 Ti.upf
Zr 91.22 Zr.upf
C 12.01 C.upf
ATOMIC_POSITIONS crystal
Ti 0.500 0.500 0.500
Zr 0.000 0.000 0.000
C 0.244 0.244 0.244
C 0.756 0.756 0.756
CELL_PARAMETERS angstrom
-4.704 2.896 -0.028
-4.281 1.818 2.981
-2.673 4.419 1.960
```

Volume = 11.70 A^3/atom
SG = R-3m (166)
DOS at the Fermi energy = 0.6 states/eV/f.u.
Theoretical density = 5.79 g cm⁻³

*x*
A geometry-optimized ZrTiC2 structure, computed with GGA-PBE. Values from VASP.

The structure in Quantum ESPRESSO input format:
```
&SYSTEM
  ibrav = 0, nat = 8, ntyp = 3
/
ATOMIC_SPECIES
C 12.01 C.upf
Ti 47.87 Ti.upf
Zr 91.22 Zr.upf
ATOMIC_POSITIONS crystal
C 0.150 0.625 0.250
C 0.875 0.850 0.750
C 0.375 0.400 0.750
C 0.600 0.125 0.250
Ti 0.250 0.750 0.500
Ti 0.500 0.500 0.000
Zr 0.000 0.000 0.000
Zr 0.750 0.250 0.500
CELL_PARAMETERS angstrom
4.908 0.000 0.000
0.000 4.908 0.000
2.454 2.454 4.945
```

Volume = 14.89 A^3/atom
SG = I-42d (122)
DOS at the Fermi energy = 0.0 states/eV/f.u.
Theoretical density = 4.55 g cm⁻³

*y*
A geometry-optimized ZrTiC2 structure, computed with GGA-PBE. Values from VASP.

The structure in Quantum ESPRESSO input format:
```
&SYSTEM
  ibrav = 0, nat = 4, ntyp = 3
/
ATOMIC_SPECIES
Zr 91.22 Zr.upf
C 12.01 C.upf
Ti 47.87 Ti.upf
ATOMIC_POSITIONS crystal
Zr 0.000 0.500 0.500
C 0.667 0.833 0.766
C 0.333 0.167 0.234
Ti 0.000 0.500 0.000
CELL_PARAMETERS angstrom
3.185 0.000 0.000
-1.593 2.758 0.001
0.000 -0.003 5.647
```

Volume = 12.40 A^3/atom
SG = P-3m1 (164)
DOS at the Fermi energy = 1.6 states/eV/f.u.
Theoretical density = 5.46 g cm⁻³

Which of them is most stable? Easy: *w*.

*w*
A geometry-optimized ZrTiC structure, computed with GGA-PBE. Values from VASP.

The structure in Quantum ESPRESSO input format:
```
&SYSTEM
  ibrav = 0, nat = 6, ntyp = 3
/
ATOMIC_SPECIES
C 12.01 C.upf
Ti 47.87 Ti.upf
Zr 91.22 Zr.upf
ATOMIC_POSITIONS crystal
C 0.500 0.000 0.620
C 0.000 0.500 0.380
Ti 0.500 0.500 0.594
Ti 0.000 0.000 0.406
Zr 0.000 0.000 0.856
Zr 0.500 0.500 0.144
CELL_PARAMETERS angstrom
3.234 0.000 0.000
0.000 4.273 0.000
0.000 0.000 6.690
```

Volume = 15.41 A^3/atom
SG = Pmmn (59)
DOS at the Fermi energy = 2.0 states/eV/f.u.
Theoretical density = 5.43 g cm⁻³

*x*
A geometry-optimized ZrTiC structure, computed with GGA-PBE. Values from VASP.

The structure in Quantum ESPRESSO input format:
```
&SYSTEM
  ibrav = 0, nat = 6, ntyp = 3
/
ATOMIC_SPECIES
Ti 47.87 Ti.upf
Zr 91.22 Zr.upf
C 12.01 C.upf
ATOMIC_POSITIONS crystal
Ti 0.860 0.118 0.720
Ti 0.140 0.882 0.280
Zr 0.626 0.366 0.251
Zr 0.374 0.634 0.749
C 0.745 0.759 0.490
C 0.255 0.241 0.510
CELL_PARAMETERS angstrom
3.221 0.001 -0.195
-0.014 5.563 -0.189
-1.298 -0.827 5.243
```

Volume = 15.34 A^3/atom
SG = C2/m (12)
DOS at the Fermi energy = 1.6 states/eV/f.u.
Theoretical density = 5.45 g cm⁻³

*y*
A geometry-optimized ZrTiC structure, computed with GGA-PBE. Values from VASP.

The structure in Quantum ESPRESSO input format:
```
&SYSTEM
  ibrav = 0, nat = 3, ntyp = 3
/
ATOMIC_SPECIES
Zr 91.22 Zr.upf
C 12.01 C.upf
Ti 47.87 Ti.upf
ATOMIC_POSITIONS crystal
Zr 0.576 0.667 0.333
C 0.315 0.333 0.667
Ti 0.109 0.000 0.000
CELL_PARAMETERS angstrom
5.203 0.000 0.000
0.000 3.211 0.000
0.000 -1.605 2.781
```

Volume = 15.48 A^3/atom
SG = P3m1 (156)
DOS at the Fermi energy = 1.9 states/eV/f.u.
Theoretical density = 5.40 g cm⁻³

Which of them is most stable? Easy: *x*.

*w*
A geometry-optimized Zr3TiC structure, computed with GGA-PBE. Values from VASP.

The structure in Quantum ESPRESSO input format:
```
&SYSTEM
  ibrav = 0, nat = 5, ntyp = 3
/
ATOMIC_SPECIES
Zr 91.22 Zr.upf
Ti 47.87 Ti.upf
C 12.01 C.upf
ATOMIC_POSITIONS crystal
Zr 0.000 0.500 0.000
Zr 0.000 0.000 0.500
Zr 0.500 0.000 0.000
Ti 0.500 0.500 0.500
C 0.000 0.000 0.000
CELL_PARAMETERS angstrom
4.577 0.000 0.000
0.000 4.577 0.000
0.000 0.000 4.577
```

Volume = 19.18 A^3/atom
SG = Pm-3m (221)
DOS at the Fermi energy = 6.0 states/eV/f.u.
Theoretical density = 5.78 g cm⁻³

*x*
A geometry-optimized Zr3TiC structure, computed with GGA-PBE. Values from VASP.

The structure in Quantum ESPRESSO input format:
```
&SYSTEM
  ibrav = 0, nat = 5, ntyp = 3
/
ATOMIC_SPECIES
Ti 47.87 Ti.upf
C 12.01 C.upf
Zr 91.22 Zr.upf
ATOMIC_POSITIONS crystal
Ti 0.000 0.000 0.000
C 0.500 0.500 0.500
Zr 0.000 0.500 0.000
Zr 0.500 0.000 0.000
Zr 0.000 0.000 0.500
CELL_PARAMETERS angstrom
4.863 0.000 0.000
0.000 4.863 0.000
0.000 0.000 4.863
```

Volume = 23.00 A^3/atom
SG = Pm-3m (221)
DOS at the Fermi energy = 7.7 states/eV/f.u.
Theoretical density = 4.82 g cm⁻³

Which of them is most stable? Easy: *w*.

*w*
A geometry-optimized Zr2TiC2 structure, computed with GGA-PBE. Values from VASP.

The structure in Quantum ESPRESSO input format:
```
&SYSTEM
  ibrav = 0, nat = 10, ntyp = 3
/
ATOMIC_SPECIES
C 12.01 C.upf
Zr 91.22 Zr.upf
Ti 47.87 Ti.upf
ATOMIC_POSITIONS crystal
C 0.496 0.242 0.765
C 0.172 0.248 0.408
C 0.828 0.752 0.592
C 0.504 0.758 0.235
Zr 0.016 0.720 0.248
Zr 0.331 0.750 0.587
Zr 0.984 0.280 0.752
Zr 0.669 0.250 0.413
Ti 0.652 0.792 0.903
Ti 0.348 0.208 0.097
CELL_PARAMETERS angstrom
4.392 0.000 1.714
1.489 4.843 2.668
-0.189 0.321 6.966
```

Volume = 14.68 A^3/atom
SG = C2/m (12)
DOS at the Fermi energy = 2.3 states/eV/f.u.
Theoretical density = 5.75 g cm⁻³

*x*
A geometry-optimized Zr2TiC2 structure, computed with GGA-PBE. Values from VASP.

The structure in Quantum ESPRESSO input format:
```
&SYSTEM
  ibrav = 0, nat = 10, ntyp = 3
/
ATOMIC_SPECIES
Zr 91.22 Zr.upf
Ti 47.87 Ti.upf
C 12.01 C.upf
ATOMIC_POSITIONS crystal
Zr 0.054 0.241 0.107
Zr 0.946 0.741 0.893
Zr 0.213 0.877 0.427
Zr 0.787 0.377 0.573
Ti 0.402 0.095 0.804
Ti 0.598 0.595 0.196
C 0.454 0.424 0.909
C 0.546 0.924 0.091
C 0.817 0.997 0.634
C 0.183 0.497 0.366
CELL_PARAMETERS angstrom
-1.856 1.505 -2.320
3.964 -2.144 -4.562
-2.763 -6.259 0.540
```

Volume = 14.22 A^3/atom
SG = Cmc2_1 (36)
DOS at the Fermi energy = 3.1 states/eV/f.u.
Theoretical density = 5.94 g cm⁻³

Which of them is most stable? Easy: *w*.

*w*
A geometry-optimized Tl3C2 structure, computed with GGA-PBE. Values from VASP.

The structure in Quantum ESPRESSO input format:
```
&SYSTEM
  ibrav = 0, nat = 5, ntyp = 2
/
ATOMIC_SPECIES
Tl 204.38 Tl.upf
C 12.01 C.upf
ATOMIC_POSITIONS crystal
Tl 0.667 0.333 0.662
Tl 0.000 0.000 0.000
Tl 0.333 0.667 0.338
C 0.333 0.667 0.700
C 0.667 0.333 0.300
CELL_PARAMETERS angstrom
1.963 -3.399 0.000
1.963 3.399 0.000
0.000 0.000 8.016
```

Volume = 21.39 A^3/atom
SG = P-3m1 (164)
DOS at the Fermi energy = 2.2 states/eV/f.u.
Theoretical density = 9.89 g cm⁻³

*x*
A geometry-optimized Tl3C2 structure, computed with GGA-PBE. Values from VASP.

The structure in Quantum ESPRESSO input format:
```
&SYSTEM
  ibrav = 0, nat = 5, ntyp = 2
/
ATOMIC_SPECIES
Tl 204.38 Tl.upf
C 12.01 C.upf
ATOMIC_POSITIONS crystal
Tl 0.778 0.778 0.778
Tl 0.000 0.000 0.000
Tl 0.222 0.222 0.222
C 0.604 0.604 0.604
C 0.396 0.396 0.396
CELL_PARAMETERS angstrom
8.220 -1.857 -0.023
8.220 1.857 -0.023
7.809 0.000 3.166
```

Volume = 19.46 A^3/atom
SG = R-3m (166)
DOS at the Fermi energy = 2.8 states/eV/f.u.
Theoretical density = 10.87 g cm⁻³

*y*
A geometry-optimized Tl3C2 structure, computed with GGA-PBE. Values from VASP.

The structure in Quantum ESPRESSO input format:
```
&SYSTEM
  ibrav = 0, nat = 10, ntyp = 2
/
ATOMIC_SPECIES
Tl 204.38 Tl.upf
C 12.01 C.upf
ATOMIC_POSITIONS crystal
Tl 0.066 0.896 0.603
Tl 0.647 0.814 0.184
Tl 0.073 0.427 0.427
Tl 0.436 0.603 0.896
Tl 0.823 0.177 0.177
Tl 0.354 0.184 0.814
C 0.616 0.176 0.899
C 0.310 0.899 0.176
C 0.351 0.940 0.634
C 0.074 0.634 0.940
CELL_PARAMETERS angstrom
0.000 5.277 5.933
3.451 0.000 5.933
3.451 5.277 0.000
```

Volume = 21.61 A^3/atom
SG = Fdd2 (43)
DOS at the Fermi energy = 2.3 states/eV/f.u.
Theoretical density = 9.79 g cm⁻³

Which of them is most stable? Easy: *w*.